SiRh3F | PBE | optimized geometry

Summary:
**Calculated volume**: 17.89 Å³/atom
**Energy above the most stable polymorph in this dataset**: 0.000 eV per atom
**VASP energy**: -0.1984 Ha/atom
**Space-group type**: Pm-3m, No. 221
**N(E_F)**: 9.32 states/eV/f.u.

Unit cell a=4.472 b=4.472 c=4.472 alpha=90.00 beta=90.00 gamma=90.00
Fractional coordinates of all 5 atoms:
Si: 0.000 0.000 0.000
Rh: 0.000 0.000 0.500
Rh: 0.000 0.500 0.000
Rh: 0.500 0.000 0.000
F: 0.500 0.500 0.500